# 1
This record from Alexandria via LeMat-Bulk describes a geometry-optimized NdUCo2 structure. The functional is PBE.

POSCAR file:
```
NdUCo2
1.0
3.290 0.000 0.000
0.000 3.290 0.000
0.000 0.000 6.989
Co Nd U
2 1 1
Cartesian
0.000 0.000 5.697
0.000 0.000 1.293
1.645 1.645 3.495
1.645 1.645 0.000
```

Summary:
* M_tot: 0.27 μB/f.u.
* ρ: 10981 kg/m³
* calculated total energy: -7.62 eV/atom
* ΔE_f: -0.058 eV/atom
* density of states at the Fermi level: 1.422 states/eV per atom

# 2
This record from Alexandria via LeMat-Bulk describes a geometry-optimized RbGdF2 structure. The functional is PBE.

POSCAR file:
```
RbGdF2
1.0
3.231 0.000 0.000
0.000 3.231 0.000
0.000 0.000 7.625
F Gd Rb
2 1 1
Cartesian
0.000 0.000 5.565
0.000 0.000 2.061
1.615 1.615 0.000
1.615 1.615 3.813
```

Summary:
* M_tot: 7.27 μB/f.u.
* ρ: 5857 kg/m³
* calculated total energy: -6.69 eV/atom
* energy relative to the elements, uncorrected: -2.00 eV/atom
* density of states at the Fermi level: 1.154 states/eV per atom

# 3
This record from Alexandria via LeMat-Bulk describes a geometry-optimized CaRe2Rh structure. The functional is PBE.

POSCAR file:
```
CaRe2Rh
1.0
4.772 0.008 -0.012
3.918 2.724 -0.012
0.886 0.278 5.504
Ca Re Rh
1 2 1
Cartesian
2.360 0.742 1.501
7.262 2.283 4.273
0.962 0.302 5.053
4.665 1.466 2.898
```

Summary:
* M_tot: 0.00 μB/f.u.
* ρ: 11983 kg/m³
* calculated total energy: -8.20 eV/atom
* ΔE_f: 0.363 eV/atom
* density of states at the Fermi level: 0.741 states/eV per atom